Density functional theory data (PBE-GGA) for BaPrAg10 after structural relaxation.

Summary:
Space-group type: Pmmm
DFT formation energy (eV per atom): -0.13

Unit cell a=4.7125 b=5.7334 c=9.9992 alpha=90.00 beta=90.00 gamma=90.00
Fractional coordinates of all 12 atoms:
Ag: 0.0000 0.0000 0.6783
Ag: 0.5000 0.2452 0.7584
Ag: 0.0000 0.0000 0.3217
Ag: 0.0000 0.5000 0.8419
Ag: 0.0000 0.5000 0.1581
Ag: 0.5000 0.7548 0.2416
Ag: 0.5000 0.2452 0.2416
Ag: 0.5000 0.5000 0.0000
Ag: 0.5000 0.0000 0.5000
Ag: 0.5000 0.7548 0.7584
Pr: 0.0000 0.0000 0.0000
Ba: 0.0000 0.5000 0.5000



Density functional theory data (PBE-GGA) for K3Sc3SnSe8 after structural relaxation.

Summary:
Space-group type: R-3m
Uncorrected formation energy (eV/atom): -1.3697

Unit cell a=7.9303 b=7.9317 c=9.0444 alpha=116.02 beta=90.00 gamma=120.00
Fractional coordinates of all 15 atoms:
Se: 0.7313 0.4626 0.6940
Se: 0.2335 0.9621 0.6955
Se: 0.2687 0.5374 0.3060
Se: 0.2335 0.4670 0.6955
Se: 0.7665 0.0379 0.3045
Se: 0.7665 0.5330 0.3045
Se: 0.7286 0.9621 0.6955
Se: 0.2714 0.0379 0.3045
K: 0.5000 0.5000 0.0000
K: 0.0000 0.0000 0.0000
K: 0.0000 0.5000 0.0000
Sn: 0.0000 0.0000 0.5000
Sc: 0.0000 0.5000 0.5000
Sc: 0.5000 0.0000 0.5000
Sc: 0.5000 0.5000 0.5000



Density functional theory data (PBE-GGA) for Sm4CdFe after structural relaxation.

Summary:
Space-group type: C2/c
DFT formation energy (eV per atom): -0.06

Unit cell a=6.1957 b=7.7598 c=7.7598 alpha=109.99 beta=99.67 gamma=99.67
Fractional coordinates of all 12 atoms:
Sm: 0.0430 0.9438 0.2662
Sm: 0.1058 0.3702 0.1995
Sm: 0.6058 0.1995 0.3702
Sm: 0.8942 0.6298 0.8005
Sm: 0.5430 0.2662 0.9438
Sm: 0.9570 0.0562 0.7338
Sm: 0.4570 0.7338 0.0562
Sm: 0.3942 0.8005 0.6298
Cd: 0.7500 0.6242 0.3758
Cd: 0.2500 0.3758 0.6242
Fe: 0.2500 0.9992 0.0008
Fe: 0.7500 0.0008 0.9992



Number 1: total magnetic moment 0.00 μB per formula unit. Number 2: total magnetic moment 0.00 μB per formula unit. Number 3: total magnetic moment 0.00 μB per formula unit.